Entry 1:
AcSm2Cl | PBE | relaxed

```
AcSm2Cl
1.0
1.9251 1.1114 10.5105
-1.9251 1.1114 10.5105
0.0000 -2.2229 10.5105
Ac Sm Cl
1 2 1
Cartesian
0.0000 0.0000 0.0000
0.0000 0.0000 3.5705
0.0000 0.0000 27.9611
0.0000 0.0000 15.7658
```

Calculated values
The calculation puts the uncorrected formation energy at -398 meV per atom. The calculation puts the raw total energy at -4.25 eV/atom. As for the space group: R-3m. For the total magnetic moment, the calculation gives 0.000 μB/atom.

Entry 2:
AcSmCl | PBE | relaxed

```
AcSmCl
1.0
5.6910 -1.8904 0.0000
5.6910 1.8904 0.0000
-4.4249 0.0000 9.4096
Ac Sm Cl
2 2 2
Cartesian
-1.0836 0.0000 2.8534
8.0407 0.0000 6.5562
-0.2445 0.0000 8.9315
7.2016 0.0000 0.4781
-0.2196 0.0000 5.9930
7.1766 0.0000 3.4166
```

Calculated values
The calculation puts the uncorrected formation energy at -856 meV per atom. The calculation puts the raw total energy at -4.41 eV/atom. The calculation puts the energy above the most stable polymorph in this dataset at 0.016 eV/atom. As for the space group: C2/m. For the total magnetic moment, the calculation gives 0.000 μB/atom.